TlReNi2 | Alexandria via LeMat-Bulk | PBEsol | relaxed; DOS at the Fermi energy = 3.66 states/eV per cell; relative energy among the computed polymorphs = 0.000 eV per atom; symmetry = No. 139; formation enthalpy at 0 K = 568 meV/atom; E_tot = -6.50 eV/atom
1.0
-2.0278 2.0278 3.3983
2.0278 -2.0278 3.3983
2.0278 2.0278 -3.3983
Tl Re Ni
1 1 2
Direct
0.0000 0.0000 0.0000
0.5000 0.5000 0.0000
0.2500 0.7500 0.5000
0.7500 0.2500 0.5000



ReNiW | Alexandria via LeMat-Bulk | PBEsol | relaxed; DOS at the Fermi energy = 3.07 states/eV per cell; relative energy among the computed polymorphs = 0.000 eV per atom; symmetry = No. 44; formation enthalpy at 0 K = 106 meV/atom; E_tot = -10.99 eV/atom
1.0
-1.2876 1.9868 4.0364
1.2876 -1.9868 4.0364
1.2876 1.9868 -4.0364
Re Ni W
1 1 1
Direct
0.0000 0.0000 0.0000
0.6597 0.6597 0.0000
0.3260 0.3260 0.0000



ReNiW | Alexandria via LeMat-Bulk | PBEsol | relaxed; DOS at the Fermi energy = 4.71 states/eV per cell; relative energy among the computed polymorphs = 0.798 eV per atom; symmetry = No. 216; formation enthalpy at 0 K = 904 meV/atom; E_tot = -10.19 eV/atom
1.0
0.0000 2.9164 2.9164
2.9164 0.0000 2.9164
2.9164 2.9164 0.0000
Re Ni W
1 1 1
Direct
0.0000 0.0000 0.0000
0.7500 0.7500 0.7500
0.2500 0.2500 0.2500



YRe2Ni | Alexandria via LeMat-Bulk | PBEsol | relaxed; DOS at the Fermi energy = 2.33 states/eV per cell; relative energy among the computed polymorphs = 0.108 eV per atom; symmetry = No. 123; formation enthalpy at 0 K = 332 meV/atom; E_tot = -9.58 eV/atom
1.0
2.7108 0.0000 0.0000
0.0000 2.7108 0.0000
0.0000 0.0000 8.4364
Y Re Ni
1 2 1
Direct
0.0000 0.0000 0.0000
0.5000 0.5000 0.2929
0.5000 0.5000 0.7071
0.0000 0.0000 0.5000



YReNi | Alexandria via LeMat-Bulk | PBEsol | relaxed; DOS at the Fermi energy = 3.39 states/eV per cell; relative energy among the computed polymorphs = 0.948 eV per atom; symmetry = No. 216; formation enthalpy at 0 K = 1553 meV/atom; E_tot = -7.22 eV/atom
1.0
0.0000 3.1139 3.1139
3.1139 0.0000 3.1139
3.1139 3.1139 0.0000
Y Re Ni
1 1 1
Direct
0.0000 0.0000 0.0000
0.7500 0.7500 0.7500
0.2500 0.2500 0.2500



YRe2Ni | Alexandria via LeMat-Bulk | PBEsol | relaxed; DOS at the Fermi energy = 5.32 states/eV per cell; relative energy among the computed polymorphs = 0.000 eV per atom; symmetry = No. 216; formation enthalpy at 0 K = 224 meV/atom; E_tot = -9.69 eV/atom
1.0
0.0000 3.1551 3.1551
3.1551 0.0000 3.1551
3.1551 3.1551 0.0000
Y Re Ni
1 2 1
Direct
0.0000 0.0000 0.0000
0.5000 0.5000 0.5000
0.7500 0.7500 0.7500
0.2500 0.2500 0.2500



Y3ReNi | Alexandria via LeMat-Bulk | PBEsol | relaxed; DOS at the Fermi energy = 4.34 states/eV per cell; symmetry = No. 221; formation enthalpy at 0 K = 646 meV/atom; E_tot = -7.35 eV/atom
1.0
4.9559 0.0000 0.0000
0.0000 4.9559 0.0000
0.0000 0.0000 4.9559
Y Re Ni
3 1 1
Direct
0.0000 0.0000 0.5000
0.0000 0.5000 0.0000
0.5000 0.0000 0.0000
0.5000 0.5000 0.5000
0.0000 0.0000 0.0000



YReNi | Alexandria via LeMat-Bulk | PBEsol | relaxed; DOS at the Fermi energy = 5.33 states/eV per cell; relative energy among the computed polymorphs = 0.000 eV per atom; symmetry = No. 216; formation enthalpy at 0 K = 605 meV/atom; E_tot = -8.17 eV/atom
1.0
0.0000 3.0244 3.0244
3.0244 0.0000 3.0244
3.0244 3.0244 0.0000
Y Re Ni
1 1 1
Direct
0.0000 0.0000 0.0000
0.5000 0.5000 0.5000
0.7500 0.7500 0.7500



YRe2Ni | Alexandria via LeMat-Bulk | PBEsol | relaxed; DOS at the Fermi energy = 4.46 states/eV per cell; relative energy among the computed polymorphs = 0.143 eV per atom; symmetry = No. 12; formation enthalpy at 0 K = 367 meV/atom; E_tot = -9.54 eV/atom
1.0
2.6345 -4.7588 0.0000
2.6345 4.7588 0.0000
-1.0704 0.0000 2.5165
Y Re Ni
1 2 1
Direct
0.0000 0.0000 0.0000
0.0000 0.5000 0.5000
0.5000 0.0000 0.5000
0.5000 0.5000 0.0000



ZnReNi2 | Alexandria via LeMat-Bulk | PBEsol | relaxed; DOS at the Fermi energy = 2.89 states/eV per cell; symmetry = No. 123; formation enthalpy at 0 K = -135 meV/atom; E_tot = -6.94 eV/atom
1.0
2.6147 0.0000 0.0000
0.0000 2.6147 0.0000
0.0000 0.0000 7.0261
Zn Re Ni
1 1 2
Direct
0.0000 0.0000 0.0000
0.0000 0.0000 0.5000
0.5000 0.5000 0.2455
0.5000 0.5000 0.7545



Zn2ReNi | Alexandria via LeMat-Bulk | PBEsol | relaxed; DOS at the Fermi energy = 3.19 states/eV per cell; relative energy among the computed polymorphs = 0.007 eV per atom; symmetry = No. 71; formation enthalpy at 0 K = 115 meV/atom; E_tot = -5.55 eV/atom
1.0
-1.3289 2.2177 4.3526
1.3289 -2.2177 4.3526
1.3289 2.2177 -4.3526
Zn Re Ni
2 1 1
Direct
0.2322 0.2322 0.0000
0.7678 0.7678 0.0000
0.5000 0.0000 0.5000
0.0000 0.5000 0.5000



Zn2ReNi | Alexandria via LeMat-Bulk | PBEsol | relaxed; DOS at the Fermi energy = 3.02 states/eV per cell; relative energy among the computed polymorphs = 0.000 eV per atom; symmetry = No. 25; formation enthalpy at 0 K = 108 meV/atom; E_tot = -5.56 eV/atom
1.0
2.6212 0.0000 0.0000
0.0000 3.6629 0.0000
0.0000 0.0000 5.3578
Zn Re Ni
2 1 1
Direct
0.0000 0.0000 0.0000
0.5000 0.5000 0.2453
0.5000 0.5000 0.7290
0.0000 0.0000 0.4986



Copy entry 7 word for word.
Y3ReNi | Alexandria via LeMat-Bulk | PBEsol | relaxed; DOS at the Fermi energy = 4.34 states/eV per cell; symmetry = No. 221; formation enthalpy at 0 K = 646 meV/atom; E_tot = -7.35 eV/atom
1.0
4.9559 0.0000 0.0000
0.0000 4.9559 0.0000
0.0000 0.0000 4.9559
Y Re Ni
3 1 1
Direct
0.0000 0.0000 0.5000
0.0000 0.5000 0.0000
0.5000 0.0000 0.0000
0.5000 0.5000 0.5000
0.0000 0.0000 0.0000